# 1
Density functional theory data (PBE-GGA) for an optimized crystal structure of CrSb2Se.

extended XYZ file:
```
4
Lattice="-0.300 -5.900 0.544 5.854 -0.949 0.166 0.904 -0.898 2.939" Properties=species:S:1:pos:R:3 pbc="T T T"
Cr 3.379 -0.923 1.552
Sb 0.000 0.000 0.000
Sb 2.777 -3.424 0.355
Se 0.302 -3.399 1.742
```

Energy relative to the elements, uncorrected, eV/atom: 0.29
ΔE to the lowest computed polymorph, eV/f.u.: 1.05



# 2
Density functional theory data (PBE-GGA) for an optimized crystal structure of Cr4SbSe.

extended XYZ file:
```
6
Lattice="0.000 3.508 3.508 3.508 0.000 3.508 3.508 3.508 0.000" Properties=species:S:1:pos:R:3 pbc="T T T"
Cr 2.613 4.404 4.404
Cr 4.404 4.404 2.613
Cr 4.404 2.613 4.404
Cr 2.613 2.613 2.613
Sb 5.263 5.263 5.263
Se 0.000 0.000 0.000
```

Energy relative to the elements, uncorrected, eV/atom: 0.50



# 3
Density functional theory data (PBE-GGA) for an optimized crystal structure of Cr2SbSe.

extended XYZ file:
```
4
Lattice="6.811 -0.024 -0.012 5.965 3.287 -0.012 0.011 0.003 3.767" Properties=species:S:1:pos:R:3 pbc="T T T"
Cr 12.019 3.070 0.445
Cr 9.473 2.420 2.341
Sb 6.824 1.743 2.337
Se 3.639 0.930 0.467
```

Energy relative to the elements, uncorrected, eV/atom: 0.07
ΔE to the lowest computed polymorph, eV/f.u.: 0.36



no.,magnetic moment (μB/atom),uncorrected energy (eV per cell)
1,0.97,-20.2
2,0.00,-43.1
3,1.81,-26.6